VASP calculation (PBE+U) on a relaxed CoBNF2 crystal.

The value obtained for the polymorph energy (0 for the lowest one) is 1066 meV per atom. The value obtained for the total magnetization is 1.63 μB/cell. The final energy comes out at -4.3006 eV/atom.

The space group is P4/mmm (No. 123) and the conventional cell measures 4.076, 4.076 and 3.477 Å, with angles of 90.00, 90.00 and 90.00 degrees. The inequivalent atoms are Co at (0.000, 0.000, 0.000), B at (0.500, 0.500, 0.500), N at (0.000, 0.000, 0.500) and F at (0.000, 0.500, 0.000).